Record 1
Material: CsInO2
Method: DFT, GGA-PBEsol
State: optimized geometry

Computed properties:
E_form (uncorrected)	-1478	meV/atom

abc: 3.4168 3.4168 13.2021
angles: 90.00 90.00 120.00
Space group P6_3/mmc (No. 194)
Asymmetric unit:
Cs: 0.3333 0.6667 0.2500 [2 per cell]
In: 0.0000 0.0000 0.0000 [2 per cell]
O: 0.3333 0.6667 0.5830 [4 per cell]

---

Record 2
Material: SrCaSe2Br
Method: DFT, GGA-PBEsol
State: optimized geometry

Computed properties:
E_form (uncorrected)	-967	meV/atom

abc: 5.613 5.613 5.605
angles: 90.00 90.00 90.00
Space group P4/mmm (No. 123)
Asymmetric unit:
Sr: 0.000 0.000 0.000 [1 per cell]
Ca: 0.500 0.500 0.500 [1 per cell]
Se: 0.000 0.500 0.000 [2 per cell]
Br: 0.000 0.000 0.500 [1 per cell]

---

Record 3
Material: Be2ReBr
Method: DFT, GGA-PBEsol
State: optimized geometry

Computed properties:
E_form (uncorrected)	910	meV/atom
distance to the lowest polymorph of the same formula	0.156	eV/atom

abc: 5.447 7.976 2.819
angles: 90.00 119.60 90.00
Space group C2/m (No. 12)
Asymmetric unit:
Be: 0.250 0.250 0.000 [4 per cell]
Re: 0.000 0.000 0.500 [2 per cell]
Br: 0.000 0.500 0.500 [2 per cell]

---

Record 4
Material: GaHg2WI
Method: DFT, GGA-PBEsol
State: optimized geometry

Computed properties:
E_form (uncorrected)	1398	meV/atom

abc: 4.975 4.975 5.804
angles: 90.00 90.00 90.00
Space group P4/mmm (No. 123)
Asymmetric unit:
Ga: 0.000 0.000 0.000 [1 per cell]
Hg: 0.000 0.500 0.000 [2 per cell]
W: 0.500 0.500 0.500 [1 per cell]
I: 0.000 0.000 0.500 [1 per cell]

---

Record 5
Material: TlPO2F
Method: DFT, GGA-PBEsol
State: optimized geometry

Computed properties:
E_form (uncorrected)	198	meV/atom

abc: 4.241 4.241 4.271
angles: 90.00 90.00 90.00
Space group P4/mmm (No. 123)
Asymmetric unit:
Tl: 0.000 0.000 0.000 [1 per cell]
P: 0.500 0.500 0.500 [1 per cell]
O: 0.000 0.500 0.000 [2 per cell]
F: 0.000 0.000 0.500 [1 per cell]

---

Record 6
Material: BaTcMo2
Method: DFT, GGA-PBEsol
State: optimized geometry

Computed properties:
formation enthalpy at 0 K	0.75	eV/atom
distance to the lowest polymorph of the same formula	0.000	eV/atom

abc: 3.148 3.548 7.798
angles: 90.00 90.00 90.00
Space group Pmmm (No. 47)
Asymmetric unit:
Ba: 0.000 0.000 0.000 [1 per cell]
Tc: 0.000 0.000 0.500 [1 per cell]
Mo: 0.500 0.500 0.350 [2 per cell]

---

Record 7
Material: Ba2WCl
Method: DFT, GGA-PBEsol
State: optimized geometry

Computed properties:
E_form (uncorrected)	314	meV/atom
distance to the lowest polymorph of the same formula	0.128	eV/atom

abc: 4.560 4.560 6.313
angles: 90.00 90.00 90.00
Space group P4/mmm (No. 123)
Asymmetric unit:
Ba: 0.000 0.000 0.000 [1 per cell]
Ba: 0.500 0.500 0.500 [1 per cell]
W: 0.000 0.000 0.500 [1 per cell]
Cl: 0.500 0.500 0.000 [1 per cell]

---

Record 8
Material: RbSi2Ag2
Method: DFT, GGA-PBEsol
State: optimized geometry

Computed properties:
E_form (uncorrected)	126	meV/atom

abc: 4.623 4.623 9.809
angles: 90.00 90.00 90.00
Space group I4/mmm (No. 139)
Asymmetric unit:
Rb: 0.000 0.000 0.000 [2 per cell]
Si: 0.000 0.000 0.380 [4 per cell]
Ag: 0.000 0.500 0.250 [4 per cell]